[1]
AlCuSi: relaxed, PBE.

Calculated values
* energy: -12.9 eV per formula unit
* D(E_F): 1.30 states/eV/cell
* crystal system: trigonal
* M_tot: 0.0 μB/cell
* raw formation energy: 0.116 eV/atom

Cell lengths 4.0852, 4.0852, 3.0204 Å; angles 90.00, 90.00, 120.00 degrees
Space group P3m1 (No. 156)
Unique sites:
Al 0.0000 0.0000 0.0000 [1 per cell]
Cu 0.6667 0.3333 0.4944 [1 per cell]
Si 0.3333 0.6667 0.4986 [1 per cell]



[2]
AlCuSi3: relaxed, PBE.

Calculated values
* E above lowest polymorph: 40 meV per atom
* energy: -22.1 eV per formula unit
* D(E_F): 6.33 states/eV/cell
* crystal system: cubic
* M_tot: 0.0 μB/cell
* raw formation energy: 0.403 eV/atom

Cell lengths 6.1797, 6.1797, 6.1797 Å; angles 90.00, 90.00, 90.00 degrees
Space group Pm-3m (No. 221)
Unique sites:
Al 0.0000 0.0000 0.5000 [3 per cell]
Cu 0.0000 0.5000 0.5000 [3 per cell]
Si 0.2629 0.2629 0.2629 [8 per cell]
Si 0.5000 0.5000 0.5000 [1 per cell]



[3]
AlCu2Si: relaxed, PBE.

Calculated values
* energy: -17.5 eV per formula unit
* D(E_F): 0.31 states/eV/cell
* crystal system: tetragonal
* M_tot: 0.0 μB/cell
* raw formation energy: -0.026 eV/atom

Cell lengths 3.7428, 3.7428, 3.7642 Å; angles 90.00, 90.00, 90.00 degrees
Space group P4/mmm (No. 123)
Unique sites:
Al 0.0000 0.0000 0.0000 [1 per cell]
Cu 0.0000 0.5000 0.5000 [2 per cell]
Si 0.5000 0.5000 0.0000 [1 per cell]



[4]
Al3Cu3Si2: relaxed, PBE.

Calculated values
* E above lowest polymorph: 0 meV per atom
* energy: -34.2 eV per formula unit
* D(E_F): 2.50 states/eV/cell
* crystal system: hexagonal
* M_tot: 0.0 μB/cell
* raw formation energy: 0.019 eV/atom

Cell lengths 6.1418, 6.1418, 3.6160 Å; angles 90.00, 90.00, 120.00 degrees
Space group P-62m (No. 189)
Unique sites:
Al 0.0000 0.3619 0.0000 [3 per cell]
Cu 0.0000 0.7601 0.5000 [3 per cell]
Si 0.3333 0.6667 0.5000 [2 per cell]



[5]
AlCu2Si8: relaxed, PBE.

Calculated values
* energy: -51.2 eV per formula unit
* D(E_F): 3.68 states/eV/cell
* crystal system: tetragonal
* M_tot: 0.0 μB/cell
* raw formation energy: 0.376 eV/atom

Cell lengths 3.7659, 3.7659, 11.5744 Å; angles 90.00, 90.00, 90.00 degrees
Space group P4/mmm (No. 123)
Unique sites:
Al 0.0000 0.0000 0.0000 [1 per cell]
Cu 0.0000 0.0000 0.3294 [2 per cell]
Si 0.0000 0.5000 0.1619 [4 per cell]
Si 0.0000 0.5000 0.5000 [2 per cell]
Si 0.5000 0.5000 0.3254 [2 per cell]



[6]
AlCu2Si: relaxed, PBE.

Calculated values
* energy: -17.4 eV per formula unit
* D(E_F): 0.98 states/eV/cell
* crystal system: hexagonal
* M_tot: 0.0 μB/cell
* raw formation energy: -0.001 eV/atom

Cell lengths 3.7031, 3.7031, 4.9494 Å; angles 90.00, 90.00, 120.00 degrees
Space group P-6m2 (No. 187)
Unique sites:
Al 0.0000 0.0000 0.0000 [1 per cell]
Cu 0.3333 0.6667 0.2559 [2 per cell]
Si 0.6667 0.3333 0.5000 [1 per cell]



[7]
AlCu8Si2: relaxed, PBE.

Calculated values
* E above lowest polymorph: 0 meV per atom
* energy: -48.3 eV per formula unit
* D(E_F): 6.23 states/eV/cell
* crystal system: orthorhombic
* M_tot: 0.0 μB/cell
* raw formation energy: -0.082 eV/atom

Cell lengths 3.8695, 6.3487, 11.3514 Å; angles 90.00, 90.00, 90.00 degrees
Space group Immm (No. 71)
Unique sites:
Al 0.0000 0.0000 0.0000 [2 per cell]
Cu 0.0000 0.2078 0.5000 [4 per cell]
Cu 0.0000 0.2804 0.1562 [8 per cell]
Cu 0.0000 0.5000 0.3412 [4 per cell]
Si 0.0000 0.0000 0.3163 [4 per cell]



[8]
AlCu3Si: relaxed, PBE.

Calculated values
* E above lowest polymorph: 0 meV per atom
* energy: -21.7 eV per formula unit
* D(E_F): 6.98 states/eV/cell
* crystal system: cubic
* M_tot: 0.0 μB/cell
* raw formation energy: -0.053 eV/atom

Cell lengths 5.8051, 5.8051, 5.8051 Å; angles 90.00, 90.00, 90.00 degrees
Space group Pm-3m (No. 221)
Unique sites:
Al 0.0000 0.0000 0.5000 [3 per cell]
Cu 0.0000 0.0000 0.0000 [1 per cell]
Cu 0.2654 0.2654 0.2654 [8 per cell]
Si 0.0000 0.5000 0.5000 [3 per cell]



[9]
AlCuSi2: relaxed, PBE.

Calculated values
* energy: -17.5 eV per formula unit
* D(E_F): 2.23 states/eV/cell
* crystal system: orthorhombic
* M_tot: 0.0 μB/cell
* raw formation energy: 0.295 eV/atom

Cell lengths 5.2708, 4.8814, 4.7179 Å; angles 90.00, 90.00, 90.00 degrees
Space group Pmma (No. 51)
Unique sites:
Al 0.2500 0.0000 0.0169 [2 per cell]
Cu 0.2500 0.5000 0.3431 [2 per cell]
Si 0.0000 0.0000 0.5000 [2 per cell]
Si 0.2500 0.5000 0.8386 [2 per cell]



[10]
AlCuSi2: relaxed, PBE.

Calculated values
* energy: -18.0 eV per formula unit
* D(E_F): 1.51 states/eV/cell
* crystal system: orthorhombic
* M_tot: 0.0 μB/cell
* raw formation energy: 0.159 eV/atom

Cell lengths 5.1740, 2.8814, 7.8518 Å; angles 90.00, 90.00, 90.00 degrees
Space group Pmma (No. 51)
Unique sites:
Al 0.2500 0.0000 0.2383 [2 per cell]
Cu 0.2500 0.0000 0.7098 [2 per cell]
Si 0.0000 0.5000 0.5000 [2 per cell]
Si 0.2500 0.5000 0.9630 [2 per cell]



[11]
AlCu3Si3: relaxed, PBE.

Calculated values
* E above lowest polymorph: 0 meV per atom
* energy: -31.8 eV per formula unit
* D(E_F): 6.16 states/eV/cell
* crystal system: orthorhombic
* M_tot: 0.0 μB/cell
* raw formation energy: 0.071 eV/atom

Cell lengths 3.7353, 6.5035, 8.2133 Å; angles 90.00, 90.00, 90.00 degrees
Space group Pmmn (No. 59, origin choice 2)
Unique sites:
Al 0.2500 0.2500 0.2024 [2 per cell]
Cu 0.2500 0.0522 0.8626 [4 per cell]
Cu 0.2500 0.7500 0.3214 [2 per cell]
Si 0.2500 0.5609 0.5858 [4 per cell]
Si 0.2500 0.7500 0.0282 [2 per cell]



[12]
AlCuSi: relaxed, PBE.

Calculated values
* energy: -13.1 eV per formula unit
* D(E_F): 2.22 states/eV/cell
* crystal system: triclinic
* M_tot: 0.0 μB/cell
* raw formation energy: 0.052 eV/atom

Cell lengths 4.3692, 4.4139, 5.3146 Å; angles 76.90, 77.24, 61.19 degrees
Space group P-1 (No. 2)
Unique sites:
Al 0.1430 0.1406 0.1650 [2 per cell]
Cu 0.2190 0.2206 0.6670 [2 per cell]
Si 0.4666 0.4687 0.2536 [2 per cell]